Below is a geometry-optimized La2MgH structure, with properties calculated at the GGA-PBE level.

a = 3.6605 Å, b = 3.6605 Å, c = 9.0516 Å
α = 78.33°, β = 78.33°, γ = 60.00°
Last column: nearest neighbours and their distance in Å.
Fractional positions:
H 0.0000 0.0000 0.0000  6 La 2.60
Mg 0.5000 0.5000 0.5000  6 La 3.57, 6 Mg 3.66
La 0.2757 0.2757 0.1730  3 H 2.60
La 0.7243 0.7243 0.8270  3 H 2.60

## Properties
The calculation puts the density at 4.93 g cm⁻³. The offset from the most stable computed form is 0 meV per atom. Its volume is 102 Å³/f.u. As for the symmetry: R-3m.